(1)
The following is a PBE calculation of a geometry-optimized BaTa2In structure, from Alexandria.

* DOS at the Fermi energy: 9.3 states/eV/cell
* formation energy from the elements: 1.080 eV/atom
* distance to the lowest polymorph of the same formula: 0.696 eV per atom
* crystal system: orthorhombic

Lattice parameters (Å, degrees): 6.361 10.240 2.960 90.00 90.00 90.00
Space group Cmmm (No. 65)
Asymmetric unit:
Ba: 0.000 0.000 0.000 (multiplicity 2)
Ta: 0.250 0.250 0.500 (multiplicity 4)
In: 0.000 0.500 0.000 (multiplicity 2)

***

(2)
The following is a PBE calculation of a geometry-optimized BeReHg2 structure, from Alexandria.

* DOS at the Fermi energy: 1.8 states/eV/cell
* formation energy from the elements: 0.833 eV/atom
* crystal system: tetragonal

Lattice parameters (Å, degrees): 4.019 4.019 4.145 90.00 90.00 90.00
Space group P4/mmm (No. 123)
Asymmetric unit:
Be: 0.000 0.000 0.000 (multiplicity 1)
Re: 0.500 0.500 0.000 (multiplicity 1)
Hg: 0.000 0.500 0.500 (multiplicity 2)

***

(3)
The following is a PBE calculation of a geometry-optimized Tl7I4Br4 structure, from Alexandria.

* DOS at the Fermi energy: 48.5 states/eV/cell
* formation energy without anion corrections: -0.654 eV/atom
* crystal system: tetragonal

Lattice parameters (Å, degrees): 16.819 16.819 8.901 90.00 90.00 90.00
Space group I4/mmm (No. 139)
Asymmetric unit:
Tl: 0.000 0.000 0.225 (multiplicity 4)
Tl: 0.000 0.258 0.000 (multiplicity 8)
Tl: 0.000 0.356 0.500 (multiplicity 8)
Tl: 0.191 0.191 0.500 (multiplicity 8)
I: 0.151 0.349 0.250 (multiplicity 16)
Br: 0.000 0.176 0.500 (multiplicity 8)
Br: 0.115 0.115 0.000 (multiplicity 8)

***

(4)
The following is a PBE calculation of a geometry-optimized La8Ru3PtI4 structure, from Alexandria.

* DOS at the Fermi energy: 23.3 states/eV/cell
* formation energy without anion corrections: -0.914 eV/atom
* crystal system: trigonal

Lattice parameters (Å, degrees): 8.4735 8.4735 24.7912 90.00 90.00 120.00
Space group R-3m (No. 166, hexagonal axes)
Asymmetric unit:
La: 0.0000 0.0000 0.2292 (multiplicity 6)
La: 0.0112 0.5056 0.7718 (multiplicity 18)
Ru: 0.0000 0.5000 0.5000 (multiplicity 9)
Pt: 0.0000 0.0000 0.5000 (multiplicity 3)
I: 0.0000 0.0000 0.0000 (multiplicity 3)
I: 0.0000 0.5000 0.0000 (multiplicity 9)

***

(5)
The following is a PBE calculation of a geometry-optimized U5TaN6 structure, from Alexandria.

* DOS at the Fermi energy: 43.8 states/eV/cell
* formation energy without anion corrections: -1.298 eV/atom
* crystal system: monoclinic

Lattice parameters (Å, degrees): 5.868 10.137 5.853 90.00 109.45 90.00
Space group C2/m (No. 12)
Asymmetric unit:
U: 0.000 0.000 0.000 (multiplicity 2)
U: 0.000 0.166 0.500 (multiplicity 4)
U: 0.000 0.332 0.000 (multiplicity 4)
Ta: 0.000 0.500 0.500 (multiplicity 2)
N: 0.234 0.500 0.260 (multiplicity 4)
N: 0.235 0.342 0.734 (multiplicity 8)

***

(6)
The following is a PBE calculation of a geometry-optimized K2AcAgBr6 structure, from Alexandria.

* DOS at the Fermi energy: 0.0 states/eV/cell
* formation energy without anion corrections: -1.568 eV/atom
* crystal system: monoclinic

Lattice parameters (Å, degrees): 7.774 8.185 13.567 90.00 122.52 90.00
Space group P2_1/c (No. 14)
Asymmetric unit:
K: 0.209 0.080 0.241 (multiplicity 4)
Ac: 0.500 0.000 0.000 (multiplicity 2)
Ag: 0.000 0.000 0.500 (multiplicity 2)
Br: 0.128 0.202 0.941 (multiplicity 4)
Br: 0.239 0.693 0.938 (multiplicity 4)
Br: 0.369 0.038 0.747 (multiplicity 4)

***

(7)
The following is a PBE calculation of a geometry-optimized LaTb6Pr10 structure, from Alexandria.

* DOS at the Fermi energy: 27.1 states/eV/cell
* formation energy from the elements: 0.130 eV/atom
* crystal system: trigonal

Lattice parameters (Å, degrees): 9.9730 9.9730 6.9958 90.00 90.00 120.00
Space group P-31m (No. 162)
Asymmetric unit:
La: 0.0000 0.0000 0.0000 (multiplicity 1)
Tb: 0.0000 0.3707 0.8102 (multiplicity 6)
Pr: 0.0000 0.2773 0.3198 (multiplicity 6)
Pr: 0.3333 0.6667 0.0000 (multiplicity 2)
Pr: 0.3333 0.6667 0.5000 (multiplicity 2)

***

(8)
The following is a PBE calculation of a geometry-optimized CsAgO2F structure, from Alexandria.

* DOS at the Fermi energy: 1.9 states/eV/cell
* formation energy without anion corrections: 0.204 eV/atom
* crystal system: tetragonal

Lattice parameters (Å, degrees): 4.326 4.326 5.427 90.00 90.00 90.00
Space group P4/mmm (No. 123)
Asymmetric unit:
Cs: 0.000 0.000 0.000 (multiplicity 1)
Ag: 0.500 0.500 0.500 (multiplicity 1)
O: 0.000 0.500 0.000 (multiplicity 2)
F: 0.000 0.000 0.500 (multiplicity 1)

***

Question: Which of these has the highest DOS at the Fermi energy?
Answer: Tl7I4Br4

***

Question: What is the formula in the second record?
Answer: BeReHg2